# 1
NbFeB2 PBE-GGA optimized geometry; total moment = 0.608 μB per cell; VASP energy = -0.534 Ry/atom
1.0
0.000 2.746 2.746
2.746 0.000 2.746
2.746 2.746 0.000
Nb Fe B
1 1 2
direct
0.000 0.000 0.000
0.250 0.250 0.250
0.500 0.500 0.500
0.750 0.750 0.750

---

# 2
LiCdAs PBE-GGA optimized geometry; VASP energy = -0.210 Ry/atom
1.0
7.079 0.000 0.000
-3.540 6.131 0.000
0.000 0.000 4.136
Li Cd As
3 3 3
direct
0.000 0.586 0.000
0.414 0.414 0.000
0.586 0.000 0.000
0.000 0.267 0.500
0.267 0.000 0.500
0.733 0.733 0.500
0.000 0.000 0.000
0.333 0.667 0.500
0.667 0.333 0.500

---

# 3
SmGdTe2 PBE-GGA optimized geometry; total moment = 0.008 μB per cell; VASP energy = -0.388 Ry/atom
1.0
4.413 0.000 0.000
0.000 4.413 0.000
0.000 0.000 6.248
Sm Gd Te
1 1 2
direct
0.000 0.000 0.000
0.500 0.500 0.500
0.000 0.000 0.500
0.500 0.500 0.000

---

# 4
ScInAg2 PBE-GGA optimized geometry; total moment = 0.046 μB per cell; VASP energy = -0.273 Ry/atom
1.0
4.898 0.000 0.000
-2.449 4.242 0.000
0.000 0.000 8.193
Sc In Ag
2 2 4
direct
0.000 0.000 0.250
0.000 0.000 0.750
0.333 0.667 0.250
0.667 0.333 0.750
0.333 0.667 0.583
0.333 0.667 0.917
0.667 0.333 0.083
0.667 0.333 0.417

---

# 5
Ge4Ir3Se PBE-GGA optimized geometry; total moment = 0.003 μB per cell; VASP energy = -0.454 Ry/atom
1.0
5.670 0.000 0.000
0.000 3.737 0.000
-0.394 0.000 6.606
Ge Ir Se
4 3 1
direct
0.000 0.000 0.000
0.067 0.500 0.517
0.500 0.000 0.705
0.638 0.500 0.140
0.288 0.500 0.871
0.787 0.000 0.366
0.788 0.500 0.787
0.334 0.000 0.341

---

# 6
MgTaRePb PBE-GGA optimized geometry; total moment = 0.039 μB per cell; distance to the lowest polymorph of the same formula = 460 meV/atom
1.0
0.000 3.329 3.329
3.329 0.000 3.329
3.329 3.329 0.000
Mg Ta Re Pb
1 1 1 1
direct
0.000 0.000 0.000
0.750 0.750 0.750
0.250 0.250 0.250
0.500 0.500 0.500

---

# 7
LuCl2 PBE-GGA optimized geometry; total moment = 1.794 μB per cell; VASP energy = -0.300 Ry/atom
1.0
0.000 5.805 5.805
5.805 0.000 5.805
5.805 5.805 0.000
Lu Cl
2 4
direct
0.125 0.125 0.125
0.875 0.875 0.875
0.000 0.000 0.000
0.000 0.000 0.500
0.000 0.500 0.000
0.500 0.000 0.000

---

# 8
LaAgPbSeS2 PBE-GGA optimized geometry; total moment = 0.007 μB per cell; VASP energy = -0.361 Ry/atom
1.0
2.086 -6.752 0.000
2.086 6.752 0.000
0.000 0.000 11.230
La Ag Pb Se S
2 2 2 2 4
direct
0.000 0.000 0.000
0.000 0.000 0.500
0.476 0.524 0.750
0.524 0.476 0.250
0.229 0.771 0.250
0.771 0.229 0.750
0.101 0.899 0.750
0.899 0.101 0.250
0.363 0.637 0.571
0.363 0.637 0.929
0.637 0.363 0.071
0.637 0.363 0.429